# As5Pb

An optimized crystal structure of As5Pb (PBE, Alexandria via LeMat-Bulk).

abc: 3.5660 3.5660 10.3116
angles: 90.00 90.00 90.00
Positions (direct):
As 0.0000 0.0000 0.7800
As 0.0000 0.0000 0.2200
As 0.5000 0.5000 0.6743
As 0.5000 0.5000 0.3257
As 0.0000 0.0000 0.5000
Pb 0.5000 0.5000 0.0000

Values from the calculation:
* calculated volume: 21.85 Å³/atom
* total magnetic moment: 0.00 μB/f.u.
* crystal system: tetragonal
* energy above the most stable polymorph in this dataset: 160.8 meV per atom
* N(E_F): 3.464 states/eV per cell
* ΔH_f (0 K): 1.84 eV/f.u.